Entry 1:
## PrSm3Ho4 (PBE)

Data for crystalline PrSm3Ho4 at its relaxed geometry.

Computed properties:
**DFT formation energy**: 1.80 kJ per mole of atoms
**Space group**: P2/m (10)
**Energy relative to the lowest polymorph listed for this composition**: 0 meV/atom

a = 3.600 Å, b = 10.065 Å, c = 7.198 Å
α = 90.00°, β = 90.16°, γ = 90.00°
Atoms (fractional coordinates):
Pr 0.000 0.000 0.000
Sm 0.000 0.000 0.500
Sm 0.000 0.500 0.000
Sm 0.000 0.500 0.500
Ho 0.500 0.251 0.251
Ho 0.500 0.251 0.749
Ho 0.500 0.749 0.251
Ho 0.500 0.749 0.749


Entry 2:
## Er2TlSi (PBE)

Data for crystalline Er2TlSi at its relaxed geometry.

Computed properties:
**Space group**: P4/mmm (123)
**Formation energy (no corrections)**: -9.285 kcal/mol of atoms

a = 3.320 Å, b = 3.320 Å, c = 8.583 Å
α = 90.00°, β = 90.00°, γ = 90.00°
Atoms (fractional coordinates):
Er 0.000 0.000 0.215
Er 0.000 0.000 0.785
Tl 0.500 0.500 0.500
Si 0.500 0.500 0.000


Entry 3:
## CeThZnPt (PBE)

Data for crystalline CeThZnPt at its relaxed geometry.

Computed properties:
**DFT formation energy**: -53.61 kJ per mole of atoms
**Space group**: F-43m (216)

a = 5.116 Å, b = 5.116 Å, c = 5.116 Å
α = 60.00°, β = 60.00°, γ = 60.00°
Atoms (fractional coordinates):
Ce 0.000 0.000 0.000
Th 0.500 0.500 0.500
Zn 0.750 0.750 0.750
Pt 0.250 0.250 0.250


Number 1: density of states at the Fermi level 1.442 states/eV/atom. Number 2: density of states at the Fermi level 0.800 states/eV/atom. Number 3: density of states at the Fermi level 1.697 states/eV/atom.